# 1
This record from Alexandria via LeMat-Bulk describes an optimized crystal structure of Rb2AuI. The functional is GGA-PBEsol.

Calculated values
The calculation puts the magnetization at 0.00 μB/cell. Its crystal system is cubic. For the uncorrected formation energy, the calculation gives -0.76 eV/atom.

a = 8.4007 Å, b = 8.4007 Å, c = 8.4007 Å
α = 90.00°, β = 90.00°, γ = 90.00°
Closest atoms and distances in Å follow each position.
Fractional positions:
Rb1 0.2500 0.2500 0.2500  4 I 3.64, 4 Au 3.64
Rb2 0.2500 0.2500 0.7500  4 I 3.64, 4 Au 3.64
Rb3 0.2500 0.7500 0.2500  4 I 3.64, 4 Au 3.64
Rb4 0.2500 0.7500 0.7500  4 I 3.64, 4 Au 3.64
Rb5 0.7500 0.2500 0.2500  4 I 3.64, 4 Au 3.64
Rb6 0.7500 0.2500 0.7500  4 I 3.64, 4 Au 3.64
Rb7 0.7500 0.7500 0.2500  4 I 3.64, 4 Au 3.64
Rb8 0.7500 0.7500 0.7500  4 I 3.64, 4 Au 3.64
Au1 0.0000 0.0000 0.0000  8 Rb 3.64
Au2 0.0000 0.5000 0.5000  8 Rb 3.64
Au3 0.5000 0.0000 0.5000  8 Rb 3.64
Au4 0.5000 0.5000 0.0000  8 Rb 3.64
I1 0.0000 0.0000 0.5000  8 Rb 3.64
I2 0.0000 0.5000 0.0000  8 Rb 3.64
I3 0.5000 0.0000 0.0000  8 Rb 3.64
I4 0.5000 0.5000 0.5000  8 Rb 3.64

---

# 2
This record from Alexandria via LeMat-Bulk describes an optimized crystal structure of Na3BiOs. The functional is GGA-PBEsol.

Calculated values
The calculation puts the magnetization at 2.41 μB/cell. Its crystal system is cubic. As for the formation energy from the elements: 1.379 eV per atom.

a = 5.4626 Å, b = 5.4626 Å, c = 5.4626 Å
α = 90.00°, β = 90.00°, γ = 90.00°
Closest atoms and distances in Å follow each position.
Fractional positions:
Na1 0.0000 0.0000 0.5000  2 Os 2.73
Na2 0.0000 0.5000 0.0000  2 Os 2.73
Na3 0.5000 0.0000 0.0000  2 Os 2.73
Bi1 0.5000 0.5000 0.5000  12 Na 3.86
Os1 0.0000 0.0000 0.0000  6 Na 2.73

---

# 3
This record from Alexandria via LeMat-Bulk describes an optimized crystal structure of Nb2SnPtW. The functional is GGA-PBEsol.

Calculated values
The calculation puts the magnetization at 0.00 μB/cell. Its crystal system is tetragonal. As for the formation energy from the elements: 2.018 eV per atom.

a = 4.9094 Å, b = 4.9094 Å, c = 4.6295 Å
α = 90.00°, β = 90.00°, γ = 90.00°
Closest atoms and distances in Å follow each position.
Fractional positions:
Nb1 0.0000 0.5000 0.0000  2 Sn 2.45
Nb2 0.5000 0.0000 0.0000  2 Sn 2.45
Sn1 0.0000 0.0000 0.0000  2 Pt 2.31, 4 Nb 2.45
Pt1 0.0000 0.0000 0.5000  2 Sn 2.31
W1 0.5000 0.5000 0.5000  8 Nb 3.37, 4 Pt 3.47

---

# 4
This record from Alexandria via LeMat-Bulk describes an optimized crystal structure of ZrGaI3. The functional is GGA-PBEsol.

Calculated values
The calculation puts the magnetization at 0.00 μB/cell. Its crystal system is cubic. For the uncorrected formation energy, the calculation gives -0.24 eV/atom.

a = 5.6500 Å, b = 5.6500 Å, c = 5.6500 Å
α = 90.00°, β = 90.00°, γ = 90.00°
Closest atoms and distances in Å follow each position.
Fractional positions:
Zr1 0.0000 0.0000 0.0000  6 I 2.82
Ga1 0.5000 0.5000 0.5000  12 I 4.00
I1 0.0000 0.0000 0.5000  2 Zr 2.82
I2 0.0000 0.5000 0.0000  2 Zr 2.82
I3 0.5000 0.0000 0.0000  2 Zr 2.82

---

# 5
This record from Alexandria via LeMat-Bulk describes an optimized crystal structure of CoRhSN2. The functional is GGA-PBEsol.

Calculated values
The calculation puts the magnetization at 2.27 μB/cell. Its crystal system is tetragonal. For the uncorrected formation energy, the calculation gives 1.16 eV/atom.

a = 3.6492 Å, b = 3.6492 Å, c = 5.2188 Å
α = 90.00°, β = 90.00°, γ = 90.00°
Closest atoms and distances in Å follow each position.
Fractional positions:
Co1 0.0000 0.0000 0.0000  4 S 2.58
Rh1 0.5000 0.5000 0.5000  4 N 1.82
S1 0.5000 0.5000 0.0000  4 Co 2.58, 2 Rh 2.61
N1 0.0000 0.5000 0.5000  2 Rh 1.82
N2 0.5000 0.0000 0.5000  2 Rh 1.82

---

# 6
This record from Alexandria via LeMat-Bulk describes an optimized crystal structure of Y2Pb2O7. The functional is GGA-PBEsol.

Calculated values
The calculation puts the magnetization at 0.00 μB/cell. Its crystal system is cubic. For the uncorrected formation energy, the calculation gives -2.14 eV/atom.

a = 7.5211 Å, b = 7.5211 Å, c = 7.5211 Å
α = 60.00°, β = 60.00°, γ = 60.00°
Closest atoms and distances in Å follow each position.
Fractional positions:
Y1 0.0000 0.0000 0.0000  8 O 2.30-2.47
Y2 0.0000 0.0000 0.5000  8 O 2.30-2.47
Y3 0.0000 0.5000 0.0000  8 O 2.30-2.47
Y4 0.5000 0.0000 0.0000  8 O 2.30-2.47
Pb1 0.0000 0.5000 0.5000  6 O 2.16
Pb2 0.5000 0.0000 0.5000  6 O 2.16
Pb3 0.5000 0.5000 0.0000  6 O 2.16
Pb4 0.5000 0.5000 0.5000  6 O 2.16
O1 0.1250 0.1250 0.1250  4 Y 2.30
O2 0.1502 0.1502 0.5998  2 Pb 2.16
O3 0.1502 0.5998 0.1502  2 Pb 2.16
O4 0.1502 0.5998 0.5998  2 Pb 2.16
O5 0.4002 0.4002 0.8498  2 Pb 2.16
O6 0.4002 0.8498 0.4002  2 Pb 2.16
O7 0.4002 0.8498 0.8498  2 Pb 2.16
O8 0.5998 0.1502 0.1502  2 Pb 2.16
O9 0.5998 0.1502 0.5998  2 Pb 2.16
O10 0.5998 0.5998 0.1502  2 Pb 2.16
O11 0.8498 0.4002 0.4002  2 Pb 2.16
O12 0.8498 0.4002 0.8498  2 Pb 2.16
O13 0.8498 0.8498 0.4002  2 Pb 2.16
O14 0.8750 0.8750 0.8750  4 Y 2.30

---

# 7
This record from Alexandria via LeMat-Bulk describes an optimized crystal structure of NaSbSI2. The functional is GGA-PBEsol.

Calculated values
The calculation puts the magnetization at 0.56 μB/cell. Its crystal system is tetragonal. For the uncorrected formation energy, the calculation gives 0.70 eV/atom.

a = 5.4028 Å, b = 5.4028 Å, c = 5.7980 Å
α = 90.00°, β = 90.00°, γ = 90.00°
Closest atoms and distances in Å follow each position.
Fractional positions:
Na1 0.0000 0.0000 0.0000  4 I 2.70, 2 Sb 2.90
Sb1 0.0000 0.0000 0.5000  2 Na 2.90
S1 0.5000 0.5000 0.5000  4 Sb 3.82, 8 I 3.96
I1 0.0000 0.5000 0.0000  2 Na 2.70
I2 0.5000 0.0000 0.0000  2 Na 2.70

---

# 8
This record from Alexandria via LeMat-Bulk describes an optimized crystal structure of KCo4Ir. The functional is GGA-PBEsol.

Calculated values
The calculation puts the magnetization at 8.02 μB/cell. Its crystal system is cubic. As for the formation energy from the elements: 0.805 eV per atom.

a = 4.8579 Å, b = 4.8579 Å, c = 4.8579 Å
α = 60.00°, β = 60.00°, γ = 60.00°
Closest atoms and distances in Å follow each position.
Fractional positions:
K1 0.0000 0.0000 0.0000  12 Co 2.85, 4 Ir 2.97
Co1 0.3758 0.3758 0.3758  6 Co 2.41-2.44
Co2 0.3758 0.3758 0.8726  6 Co 2.41-2.44
Co3 0.3758 0.8726 0.3758  6 Co 2.41-2.44
Co4 0.8726 0.3758 0.3758  6 Co 2.41-2.44
Ir1 0.7500 0.7500 0.7500  12 Co 2.85, 4 K 2.97

---

Please write out number 1 again, unchanged.
This record from Alexandria via LeMat-Bulk describes an optimized crystal structure of Rb2AuI. The functional is GGA-PBEsol.

Calculated values
The calculation puts the magnetization at 0.00 μB/cell. Its crystal system is cubic. For the uncorrected formation energy, the calculation gives -0.76 eV/atom.

a = 8.4007 Å, b = 8.4007 Å, c = 8.4007 Å
α = 90.00°, β = 90.00°, γ = 90.00°
Closest atoms and distances in Å follow each position.
Fractional positions:
Rb1 0.2500 0.2500 0.2500  4 I 3.64, 4 Au 3.64
Rb2 0.2500 0.2500 0.7500  4 I 3.64, 4 Au 3.64
Rb3 0.2500 0.7500 0.2500  4 I 3.64, 4 Au 3.64
Rb4 0.2500 0.7500 0.7500  4 I 3.64, 4 Au 3.64
Rb5 0.7500 0.2500 0.2500  4 I 3.64, 4 Au 3.64
Rb6 0.7500 0.2500 0.7500  4 I 3.64, 4 Au 3.64
Rb7 0.7500 0.7500 0.2500  4 I 3.64, 4 Au 3.64
Rb8 0.7500 0.7500 0.7500  4 I 3.64, 4 Au 3.64
Au1 0.0000 0.0000 0.0000  8 Rb 3.64
Au2 0.0000 0.5000 0.5000  8 Rb 3.64
Au3 0.5000 0.0000 0.5000  8 Rb 3.64
Au4 0.5000 0.5000 0.0000  8 Rb 3.64
I1 0.0000 0.0000 0.5000  8 Rb 3.64
I2 0.0000 0.5000 0.0000  8 Rb 3.64
I3 0.5000 0.0000 0.0000  8 Rb 3.64
I4 0.5000 0.5000 0.5000  8 Rb 3.64